# SrTl2FeF6 (GGA+U, optimized geometry)
data_SrTl2FeF6
_symmetry_space_group_name_H-M 'F m -3 m'
_symmetry_Int_Tables_number 225
_symmetry_space_group_name_Hall '-F 4 2 3'
_cell_length_a 8.9591
_cell_length_b 8.9591
_cell_length_c 8.9591
_cell_angle_alpha 90.00
_cell_angle_beta 90.00
_cell_angle_gamma 90.00
loop_
_atom_site_label
_atom_site_type_symbol
_atom_site_fract_x
_atom_site_fract_y
_atom_site_fract_z
_atom_site_occupancy
Sr1 Sr 0.0000 0.0000 0.0000 1
Tl1 Tl 0.2500 0.2500 0.2500 1
Fe1 Fe 0.0000 0.0000 0.5000 1
F1 F 0.0000 0.0000 0.2690 1
# Total moment, μB/cell: 16.86
# Energy, eV per atom: -4.79
# Crystal system: cubic
# N(E_F), states/eV/f.u.: 8.31